[1]
The following is a DFT calculation (GGA-PBE) of crystalline Cs2Li3I5 at its relaxed geometry.

Results
energy relative to the elements, uncorrected: -1297.9 meV/atom
uncorrected energy: -28.2 eV/f.u.
DOS at the Fermi energy: 0.00 states/eV/cell

abc: 8.061 11.981 11.981
angles: 51.06 70.34 70.34
Sites, in units of the cell vectors:
Cs1 0.166 0.643 0.024
Cs2 0.666 0.024 0.643
Cs3 0.834 0.357 0.976
Cs4 0.334 0.976 0.357
Li1 0.404 0.520 0.672
Li2 0.904 0.672 0.520
Li3 0.596 0.480 0.328
Li4 0.096 0.328 0.480
Li5 0.250 0.000 0.000
Li6 0.750 0.000 0.000
I1 0.427 0.212 0.934
I2 0.927 0.934 0.212
I3 0.573 0.788 0.066
I4 0.073 0.066 0.788
I5 0.551 0.699 0.699
I6 0.449 0.301 0.301
I7 0.750 0.500 0.500
I8 0.250 0.500 0.500
I9 0.949 0.301 0.301
I10 0.051 0.699 0.699

[2]
The following is a DFT calculation (GGA-PBE) of crystalline SrSbO2 at its relaxed geometry.

Results
energy relative to the elements, uncorrected: -1739.0 meV/atom
uncorrected energy: -22.7 eV/f.u.
DOS at the Fermi energy: 1.23 states/eV/cell

abc: 7.101 7.101 7.101
angles: 29.49 29.49 29.49
Sites, in units of the cell vectors:
Sb1 0.000 0.000 0.000
O1 0.899 0.899 0.899
O2 0.101 0.101 0.101
Sr1 0.500 0.500 0.500

[3]
The following is a DFT calculation (GGA-PBE) of crystalline ScTlMo2 at its relaxed geometry.

Results
E above lowest polymorph: 0.4771 eV per atom
uncorrected energy: -28.2 eV/f.u.
DOS at the Fermi energy: 2.78 states/eV/cell

abc: 2.847 2.847 9.416
angles: 90.00 90.00 90.00
Sites, in units of the cell vectors:
Mo1 0.000 0.000 0.004
Mo2 0.000 0.000 0.496
Sc1 0.500 0.500 0.250
Tl1 0.500 0.500 0.750

[4]
The following is a DFT calculation (GGA-PBE) of crystalline Pr3Nd7 at its relaxed geometry.

Results
E above lowest polymorph: 0.0000 eV per atom
uncorrected energy: -47.6 eV/f.u.
DOS at the Fermi energy: 15.78 states/eV/cell

abc: 5.206 7.382 11.083
angles: 119.96 103.58 90.00
Sites, in units of the cell vectors:
Pr1 0.000 0.000 0.000
Pr2 0.200 0.799 0.399
Pr3 0.800 0.201 0.601
Nd1 0.000 0.500 0.000
Nd2 0.200 0.300 0.400
Nd3 0.800 0.700 0.600
Nd4 0.400 0.100 0.800
Nd5 0.600 0.900 0.200
Nd6 0.400 0.600 0.800
Nd7 0.600 0.400 0.200